La2BeBr after structural relaxation. Source: Alexandria, functional PBE-GGA.

It has space group Fm-3m (No. 225), with a = 7.470 Å, b = 7.470 Å, c = 7.470 Å, α = 90.00°, β = 90.00° and γ = 90.00°. The asymmetric unit holds La at (0.250, 0.250, 0.250), Be at (0.000, 0.000, 0.000) and Br at (0.000, 0.000, 0.500).

The value obtained for the total magnetization is 0.00 μB per atom. As for the uncorrected formation energy: -295 meV/atom. For the energy above the lowest structure with this stoichiometry, the calculation gives 236 meV/atom.